[1]
A relaxed structure of Ac5Zn4Hg. Source: Alexandria via LeMat-Bulk, functional PBE-GGA.

Values from the calculation:
SG: No. 123
Formation energy, kJ/mol of formula units: -281
DFT total energy, eV/atom: -2.885
Crystal system: tetragonal

Cell lengths 3.939, 3.939, 19.676 Å; angles 90.00, 90.00, 90.00 degrees
Atoms (fractional coordinates):
Ac 0.000 0.000 0.000
Ac 0.000 0.000 0.198
Ac 0.000 0.000 0.392
Ac 0.000 0.000 0.608
Ac 0.000 0.000 0.802
Zn 0.500 0.500 0.099
Zn 0.500 0.500 0.295
Zn 0.500 0.500 0.705
Zn 0.500 0.500 0.901
Hg 0.500 0.500 0.500

[2]
A relaxed structure of Ac2Zn5Hg. Source: Alexandria via LeMat-Bulk, functional PBE-GGA.

Values from the calculation:
SG: No. 107
Formation energy, kJ/mol of formula units: -122
DFT total energy, eV/atom: -2.019
Crystal system: tetragonal

Cell lengths 6.509, 6.509, 9.431 Å; angles 90.00, 90.00, 90.00 degrees
Atoms (fractional coordinates):
Ac 0.000 0.500 0.000
Ac 0.000 0.500 0.500
Ac 0.500 0.000 0.000
Ac 0.500 0.000 0.500
Zn 0.000 0.000 0.478
Zn 0.200 0.200 0.250
Zn 0.200 0.800 0.250
Zn 0.300 0.300 0.750
Zn 0.300 0.700 0.750
Zn 0.500 0.500 0.978
Zn 0.700 0.300 0.750
Zn 0.700 0.700 0.750
Zn 0.800 0.200 0.250
Zn 0.800 0.800 0.250
Hg 0.000 0.000 0.793
Hg 0.500 0.500 0.293

[3]
A relaxed structure of Ac2Zn3Hg. Source: Alexandria via LeMat-Bulk, functional PBE-GGA.

Values from the calculation:
SG: No. 69
Formation energy, kJ/mol of formula units: -198
DFT total energy, eV/atom: -2.398
Crystal system: orthorhombic

Cell lengths 9.580, 9.214, 6.249 Å; angles 73.78, 67.44, 38.78 degrees
Atoms (fractional coordinates):
Ac 0.245 0.755 0.755
Ac 0.250 0.250 0.250
Ac 0.750 0.750 0.750
Ac 0.755 0.245 0.245
Zn 0.178 0.660 0.340
Zn 0.339 0.339 0.661
Zn 0.340 0.822 0.178
Zn 0.660 0.178 0.822
Zn 0.661 0.661 0.339
Zn 0.822 0.340 0.660
Hg 0.167 0.167 0.833
Hg 0.833 0.833 0.167

[4]
A relaxed structure of Ac3ZnHg2. Source: Alexandria via LeMat-Bulk, functional PBE-GGA.

Values from the calculation:
SG: No. 123
Formation energy, kJ/mol of formula units: -231
DFT total energy, eV/atom: -2.766
Crystal system: tetragonal

Cell lengths 3.997, 3.997, 12.025 Å; angles 90.00, 90.00, 90.00 degrees
Atoms (fractional coordinates):
Ac 0.000 0.000 0.000
Ac 0.000 0.000 0.345
Ac 0.000 0.000 0.655
Zn 0.500 0.500 0.500
Hg 0.500 0.500 0.172
Hg 0.500 0.500 0.828

[5]
A relaxed structure of Ac4ZnHg5. Source: Alexandria via LeMat-Bulk, functional PBE-GGA.

Values from the calculation:
SG: No. 12
Formation energy, kJ/mol of formula units: -390
DFT total energy, eV/atom: -2.326
Crystal system: monoclinic

Cell lengths 8.945, 8.945, 6.843 Å; angles 103.63, 103.63, 36.22 degrees
Atoms (fractional coordinates):
Ac 0.091 0.091 0.334
Ac 0.314 0.314 0.189
Ac 0.686 0.686 0.811
Ac 0.909 0.909 0.666
Zn 0.500 0.500 0.500
Hg 0.103 0.103 0.858
Hg 0.284 0.284 0.665
Hg 0.500 0.500 0.000
Hg 0.716 0.716 0.335
Hg 0.897 0.897 0.142

[6]
A relaxed structure of Ac3Zn3Hg. Source: Alexandria via LeMat-Bulk, functional PBE-GGA.

Values from the calculation:
SG: No. 44
Formation energy, kJ/mol of formula units: -194
DFT total energy, eV/atom: -2.636
Crystal system: orthorhombic

Cell lengths 4.014, 4.802, 21.213 Å; angles 90.00, 90.00, 90.00 degrees
Atoms (fractional coordinates):
Ac 0.000 0.000 0.000
Ac 0.000 0.000 0.381
Ac 0.000 0.500 0.186
Ac 0.500 0.000 0.686
Ac 0.500 0.500 0.500
Ac 0.500 0.500 0.881
Zn 0.000 0.000 0.554
Zn 0.000 0.000 0.830
Zn 0.000 0.500 0.621
Zn 0.500 0.000 0.121
Zn 0.500 0.500 0.054
Zn 0.500 0.500 0.330
Hg 0.000 0.500 0.753
Hg 0.500 0.000 0.253

[7]
A relaxed structure of Ac6Zn5Hg. Source: Alexandria via LeMat-Bulk, functional PBE-GGA.

Values from the calculation:
SG: No. 65
Formation energy, kJ/mol of formula units: -327
DFT total energy, eV/atom: -2.892
Crystal system: orthorhombic

Cell lengths 8.798, 8.798, 7.887 Å; angles 90.00, 90.00, 143.21 degrees
Atoms (fractional coordinates):
Ac 0.000 0.000 0.243
Ac 0.000 0.000 0.757
Ac 0.331 0.669 0.246
Ac 0.331 0.669 0.754
Ac 0.669 0.331 0.246
Ac 0.669 0.331 0.754
Zn 0.167 0.833 0.000
Zn 0.169 0.831 0.500
Zn 0.500 0.500 0.000
Zn 0.831 0.169 0.500
Zn 0.833 0.167 0.000
Hg 0.500 0.500 0.500

[8]
A relaxed structure of Ac2ZnHg8. Source: Alexandria via LeMat-Bulk, functional PBE-GGA.

Values from the calculation:
SG: No. 123
Formation energy, kJ/mol of formula units: -289
DFT total energy, eV/atom: -1.355
Crystal system: tetragonal

Cell lengths 4.838, 4.838, 13.085 Å; angles 90.00, 90.00, 90.00 degrees
Atoms (fractional coordinates):
Ac 0.000 0.000 0.198
Ac 0.000 0.000 0.802
Zn 0.000 0.000 0.500
Hg 0.000 0.500 0.000
Hg 0.000 0.500 0.380
Hg 0.000 0.500 0.620
Hg 0.500 0.000 0.000
Hg 0.500 0.000 0.380
Hg 0.500 0.000 0.620
Hg 0.500 0.500 0.183
Hg 0.500 0.500 0.817

[9]
A relaxed structure of Ac2Zn2Hg3. Source: Alexandria via LeMat-Bulk, functional PBE-GGA.

Values from the calculation:
SG: No. 63
Formation energy, kJ/mol of formula units: -223
DFT total energy, eV/atom: -1.998
Crystal system: orthorhombic

Cell lengths 10.791, 10.791, 7.675 Å; angles 90.00, 90.00, 154.85 degrees
Atoms (fractional coordinates):
Ac 0.053 0.947 0.750
Ac 0.167 0.833 0.250
Ac 0.833 0.167 0.750
Ac 0.947 0.053 0.250
Zn 0.315 0.685 0.072
Zn 0.315 0.685 0.428
Zn 0.685 0.315 0.572
Zn 0.685 0.315 0.928
Hg 0.219 0.781 0.750
Hg 0.434 0.566 0.563
Hg 0.434 0.566 0.937
Hg 0.566 0.434 0.063
Hg 0.566 0.434 0.437
Hg 0.781 0.219 0.250

[10]
A relaxed structure of Ac8Zn2Hg. Source: Alexandria via LeMat-Bulk, functional PBE-GGA.

Values from the calculation:
SG: No. 12
Formation energy, kJ/mol of formula units: -128
DFT total energy, eV/atom: -3.368
Crystal system: monoclinic

Cell lengths 10.363, 10.363, 7.696 Å; angles 104.66, 104.66, 31.22 degrees
Atoms (fractional coordinates):
Ac 0.031 0.031 0.269
Ac 0.199 0.199 0.825
Ac 0.331 0.331 0.531
Ac 0.409 0.409 0.042
Ac 0.591 0.591 0.958
Ac 0.669 0.669 0.469
Ac 0.801 0.801 0.175
Ac 0.969 0.969 0.731
Zn 0.187 0.187 0.225
Zn 0.813 0.813 0.775
Hg 0.500 0.500 0.500

[11]
A relaxed structure of Ac2Zn2Hg3. Source: Alexandria via LeMat-Bulk, functional PBE-GGA.

Values from the calculation:
SG: No. 12
Formation energy, kJ/mol of formula units: -216
DFT total energy, eV/atom: -1.987
Crystal system: monoclinic

Cell lengths 11.814, 4.715, 6.934 Å; angles 90.00, 99.04, 90.00 degrees
Atoms (fractional coordinates):
Ac 0.130 0.000 0.318
Ac 0.370 0.500 0.682
Ac 0.630 0.500 0.318
Ac 0.870 0.000 0.682
Zn 0.081 0.500 0.655
Zn 0.419 0.000 0.345
Zn 0.581 0.000 0.655
Zn 0.919 0.500 0.345
Hg 0.000 0.500 0.000
Hg 0.192 0.000 0.835
Hg 0.308 0.500 0.165
Hg 0.500 0.000 0.000
Hg 0.692 0.500 0.835
Hg 0.808 0.000 0.165

[12]
A relaxed structure of Ac6Zn2Hg. Source: Alexandria via LeMat-Bulk, functional PBE-GGA.

Values from the calculation:
SG: No. 71
Formation energy, kJ/mol of formula units: -151
DFT total energy, eV/atom: -3.230
Crystal system: orthorhombic

Cell lengths 9.465, 9.465, 9.465 Å; angles 111.09, 110.67, 106.69 degrees
Atoms (fractional coordinates):
Ac 0.053 0.247 0.806
Ac 0.178 0.270 0.448
Ac 0.178 0.730 0.909
Ac 0.324 0.027 0.703
Ac 0.324 0.622 0.297
Ac 0.441 0.247 0.194
Ac 0.559 0.753 0.806
Ac 0.676 0.378 0.703
Ac 0.676 0.973 0.297
Ac 0.822 0.270 0.091
Ac 0.822 0.730 0.552
Ac 0.947 0.753 0.194
Zn 0.116 0.616 0.500
Zn 0.355 0.000 0.355
Zn 0.645 0.000 0.645
Zn 0.884 0.384 0.500
Hg 0.000 0.000 0.000
Hg 0.500 0.500 0.000

Among the records above, which one has the highest DFT total energy? Ac2ZnHg8

What did the seventh record say?
A relaxed structure of Ac6Zn5Hg. Source: Alexandria via LeMat-Bulk, functional PBE-GGA.

Values from the calculation:
SG: No. 65
Formation energy, kJ/mol of formula units: -327
DFT total energy, eV/atom: -2.892
Crystal system: orthorhombic

Cell lengths 8.798, 8.798, 7.887 Å; angles 90.00, 90.00, 143.21 degrees
Atoms (fractional coordinates):
Ac 0.000 0.000 0.243
Ac 0.000 0.000 0.757
Ac 0.331 0.669 0.246
Ac 0.331 0.669 0.754
Ac 0.669 0.331 0.246
Ac 0.669 0.331 0.754
Zn 0.167 0.833 0.000
Zn 0.169 0.831 0.500
Zn 0.500 0.500 0.000
Zn 0.831 0.169 0.500
Zn 0.833 0.167 0.000
Hg 0.500 0.500 0.500

Copy entry 2 word for word.
A relaxed structure of Ac2Zn5Hg. Source: Alexandria via LeMat-Bulk, functional PBE-GGA.

Values from the calculation:
SG: No. 107
Formation energy, kJ/mol of formula units: -122
DFT total energy, eV/atom: -2.019
Crystal system: tetragonal

Cell lengths 6.509, 6.509, 9.431 Å; angles 90.00, 90.00, 90.00 degrees
Atoms (fractional coordinates):
Ac 0.000 0.500 0.000
Ac 0.000 0.500 0.500
Ac 0.500 0.000 0.000
Ac 0.500 0.000 0.500
Zn 0.000 0.000 0.478
Zn 0.200 0.200 0.250
Zn 0.200 0.800 0.250
Zn 0.300 0.300 0.750
Zn 0.300 0.700 0.750
Zn 0.500 0.500 0.978
Zn 0.700 0.300 0.750
Zn 0.700 0.700 0.750
Zn 0.800 0.200 0.250
Zn 0.800 0.800 0.250
Hg 0.000 0.000 0.793
Hg 0.500 0.500 0.293